# Rb8Sb2P (PBE-GGA, relaxed)
# Energy relative to the elements, uncorrected = -0.210 eV/atom
# Size of the total moment = 1.22 μB/f.u.
data_Rb8Sb2P
_chemical_formula_sum 'Rb16 Sb4 P2'
_cell_length_a 19.380
_cell_length_b 6.214
_cell_length_c 11.163
_cell_angle_alpha 90.00
_cell_angle_beta 107.49
_cell_angle_gamma 90.00
_symmetry_space_group_name_H-M 'C 1 2/m 1'
_symmetry_Int_Tables_number 12
loop_
_symmetry_equiv_pos_as_xyz
'x,y,z'
'-x,-y,-z'
'-x,y,-z'
'x,-y,z'
'x+1/2,y+1/2,z'
'-x+1/2,-y+1/2,-z'
'-x+1/2,y+1/2,-z'
'x+1/2,-y+1/2,z'
loop_
_atom_site_label
_atom_site_type_symbol
_atom_site_fract_x
_atom_site_fract_y
_atom_site_fract_z
Rb1 Rb 0.035 0.000 0.228
Rb2 Rb 0.086 0.500 0.622
Rb3 Rb 0.194 0.500 0.045
Rb4 Rb 0.200 0.000 0.569
Sb1 Sb 0.221 0.000 0.229
P1 P 0.000 0.000 0.500

# Sm4Ge3Au (PBE-GGA, relaxed)
# Size of the total moment = 0.00 μB/f.u.
# DFT formation energy = -0.828 eV/atom
data_Sm4Ge3Au
_chemical_formula_sum 'Sm4 Ge3 Au1'
_cell_length_a 4.176
_cell_length_b 4.299
_cell_length_c 11.146
_cell_angle_alpha 90.00
_cell_angle_beta 90.00
_cell_angle_gamma 90.00
_symmetry_space_group_name_H-M 'P m m 2'
_symmetry_Int_Tables_number 25
loop_
_symmetry_equiv_pos_as_xyz
'x,y,z'
'-x,-y,z'
'-x,y,z'
'x,-y,z'
loop_
_atom_site_label
_atom_site_type_symbol
_atom_site_fract_x
_atom_site_fract_y
_atom_site_fract_z
Sm1 Sm 0.000 0.000 0.000
Sm2 Sm 0.000 0.500 0.496
Sm3 Sm 0.500 0.000 0.721
Sm4 Sm 0.500 0.500 0.223
Ge1 Ge 0.000 0.000 0.274
Ge2 Ge 0.500 0.000 0.442
Ge3 Ge 0.500 0.500 0.946
Au1 Au 0.000 0.500 0.780

# TbErBeCo (PBE-GGA, relaxed)
# Size of the total moment = 0.00 μB/f.u.
# DFT formation energy = -0.037 eV/atom
data_TbErBeCo
_chemical_formula_sum 'Tb4 Er4 Be4 Co4'
_cell_length_a 6.718
_cell_length_b 6.718
_cell_length_c 6.718
_cell_angle_alpha 90.00
_cell_angle_beta 90.00
_cell_angle_gamma 90.00
_symmetry_space_group_name_H-M 'F -4 3 m'
_symmetry_Int_Tables_number 216
_symmetry_space_group_name_Hall 'F -4 2 3'
loop_
_atom_site_label
_atom_site_type_symbol
_atom_site_fract_x
_atom_site_fract_y
_atom_site_fract_z
Tb1 Tb 0.000 0.000 0.000
Er1 Er 0.000 0.000 0.500
Be1 Be 0.250 0.250 0.750
Co1 Co 0.250 0.250 0.250

# Cs2ScCl (PBE-GGA, relaxed)
# Energy relative to the elements, uncorrected = 0.020 eV/atom
# Size of the total moment = 2.00 μB/f.u.
# Polymorph energy (0 for the lowest one) = 0.66 eV per formula unit
data_Cs2ScCl
_chemical_formula_sum 'Cs8 Sc4 Cl4'
_cell_length_a 9.487
_cell_length_b 9.487
_cell_length_c 9.487
_cell_angle_alpha 90.00
_cell_angle_beta 90.00
_cell_angle_gamma 90.00
_symmetry_space_group_name_H-M 'F m -3 m'
_symmetry_Int_Tables_number 225
_symmetry_space_group_name_Hall '-F 4 2 3'
loop_
_atom_site_label
_atom_site_type_symbol
_atom_site_fract_x
_atom_site_fract_y
_atom_site_fract_z
Cs1 Cs 0.250 0.250 0.250
Sc1 Sc 0.000 0.000 0.000
Cl1 Cl 0.000 0.000 0.500

# PmAsRh2 (PBE-GGA, relaxed)
# Size of the total moment = 0.00 μB/f.u.
# DFT formation energy = -0.443 eV/atom
data_PmAsRh2
_chemical_formula_sum 'Pm1 As1 Rh2'
_cell_length_a 3.455
_cell_length_b 3.455
_cell_length_c 6.162
_cell_angle_alpha 90.00
_cell_angle_beta 90.00
_cell_angle_gamma 90.00
_symmetry_space_group_name_H-M 'P 4/m m m'
_symmetry_Int_Tables_number 123
_symmetry_space_group_name_Hall '-P 4 2'
loop_
_atom_site_label
_atom_site_type_symbol
_atom_site_fract_x
_atom_site_fract_y
_atom_site_fract_z
Pm1 Pm 0.000 0.000 0.000
As1 As 0.000 0.000 0.500
Rh1 Rh 0.500 0.500 0.278

# CdB3As (PBE-GGA, relaxed)
# Size of the total moment = 0.00 μB/f.u.
# DFT formation energy = 1.762 eV/atom
# Polymorph energy (0 for the lowest one) = 0.00 eV per formula unit
data_CdB3As
_chemical_formula_sum 'Cd1 B3 As1'
_cell_length_a 4.206
_cell_length_b 4.206
_cell_length_c 4.206
_cell_angle_alpha 90.00
_cell_angle_beta 90.00
_cell_angle_gamma 90.00
_symmetry_space_group_name_H-M 'P m -3 m'
_symmetry_Int_Tables_number 221
_symmetry_space_group_name_Hall '-P 4 2 3'
loop_
_atom_site_label
_atom_site_type_symbol
_atom_site_fract_x
_atom_site_fract_y
_atom_site_fract_z
Cd1 Cd 0.000 0.000 0.000
B1 B 0.000 0.500 0.500
As1 As 0.500 0.500 0.500

# TbGd2Dy (PBE-GGA, relaxed)
# Size of the total moment = 14.51 μB/f.u.
# DFT formation energy = 0.025 eV/atom
# Polymorph energy (0 for the lowest one) = 0.01 eV per formula unit
data_TbGd2Dy
_chemical_formula_sum 'Tb1 Gd2 Dy1'
_cell_length_a 5.041
_cell_length_b 5.041
_cell_length_c 5.036
_cell_angle_alpha 90.00
_cell_angle_beta 90.00
_cell_angle_gamma 90.00
_symmetry_space_group_name_H-M 'P 4/m m m'
_symmetry_Int_Tables_number 123
_symmetry_space_group_name_Hall '-P 4 2'
loop_
_atom_site_label
_atom_site_type_symbol
_atom_site_fract_x
_atom_site_fract_y
_atom_site_fract_z
Tb1 Tb 0.000 0.000 0.000
Gd1 Gd 0.000 0.500 0.500
Dy1 Dy 0.500 0.500 0.000

# Ac2NiAg2Sn4 (PBE-GGA, relaxed)
# Size of the total moment = 0.00 μB/f.u.
# DFT formation energy = -0.364 eV/atom
data_Ac2NiAg2Sn4
_chemical_formula_sum 'Ac4 Ni2 Ag4 Sn8'
_cell_length_a 6.869
_cell_length_b 6.869
_cell_length_c 9.843
_cell_angle_alpha 90.00
_cell_angle_beta 90.00
_cell_angle_gamma 90.00
_symmetry_space_group_name_H-M 'I 4/m m m'
_symmetry_Int_Tables_number 139
_symmetry_space_group_name_Hall '-I 4 2'
loop_
_atom_site_label
_atom_site_type_symbol
_atom_site_fract_x
_atom_site_fract_y
_atom_site_fract_z
Ac1 Ac 0.000 0.500 0.250
Ni1 Ni 0.000 0.000 0.000
Ag1 Ag 0.000 0.000 0.280
Sn1 Sn 0.230 0.230 0.500

# CePr2Pb (PBE-GGA, relaxed)
# Size of the total moment = 1.66 μB/f.u.
# DFT formation energy = -0.194 eV/atom
# Polymorph energy (0 for the lowest one) = 0.38 eV per formula unit
data_CePr2Pb
_chemical_formula_sum 'Ce1 Pr2 Pb1'
_cell_length_a 4.223
_cell_length_b 4.223
_cell_length_c 7.113
_cell_angle_alpha 90.00
_cell_angle_beta 90.00
_cell_angle_gamma 90.00
_symmetry_space_group_name_H-M 'P 4/m m m'
_symmetry_Int_Tables_number 123
_symmetry_space_group_name_Hall '-P 4 2'
loop_
_atom_site_label
_atom_site_type_symbol
_atom_site_fract_x
_atom_site_fract_y
_atom_site_fract_z
Ce1 Ce 0.000 0.000 0.000
Pr1 Pr 0.500 0.500 0.269
Pb1 Pb 0.000 0.000 0.500

# HfCrP3 (PBE-GGA, relaxed)
# Size of the total moment = 0.63 μB/f.u.
# DFT formation energy = 1.077 eV/atom
# Polymorph energy (0 for the lowest one) = 3.71 eV per formula unit
data_HfCrP3
_chemical_formula_sum 'Hf1 Cr1 P3'
_cell_length_a 4.903
_cell_length_b 4.903
_cell_length_c 4.903
_cell_angle_alpha 90.00
_cell_angle_beta 90.00
_cell_angle_gamma 90.00
_symmetry_space_group_name_H-M 'P m -3 m'
_symmetry_Int_Tables_number 221
_symmetry_space_group_name_Hall '-P 4 2 3'
loop_
_atom_site_label
_atom_site_type_symbol
_atom_site_fract_x
_atom_site_fract_y
_atom_site_fract_z
Hf1 Hf 0.000 0.000 0.000
Cr1 Cr 0.500 0.500 0.500
P1 P 0.000 0.000 0.500

# Mn3Sn4Se8 (PBE-GGA, relaxed)
# Energy relative to the elements, uncorrected = -0.340 eV/atom
# Size of the total moment = 13.04 μB/f.u.
data_Mn3Sn4Se8
_chemical_formula_sum 'Mn9 Sn12 Se24'
_cell_length_a 7.7871
_cell_length_b 7.7871
_cell_length_c 22.5870
_cell_angle_alpha 90.00
_cell_angle_beta 90.00
_cell_angle_gamma 120.00
_symmetry_space_group_name_H-M 'R -3 m'
_symmetry_Int_Tables_number 166
_symmetry_space_group_name_Hall '-R 3 2"'
loop_
_atom_site_label
_atom_site_type_symbol
_atom_site_fract_x
_atom_site_fract_y
_atom_site_fract_z
Mn1 Mn 0.0000 0.5000 0.0000
Sn1 Sn 0.0000 0.0000 0.0000
Sn2 Sn 0.0000 0.0000 0.1463
Sn3 Sn 0.0000 0.0000 0.5000
Se1 Se 0.0000 0.0000 0.2822
Se2 Se 0.0155 0.5077 0.2585

# Ba2CaBe (PBE-GGA, relaxed)
# Size of the total moment = 0.00 μB/f.u.
# DFT formation energy = 0.314 eV/atom
data_Ba2CaBe
_chemical_formula_sum 'Ba4 Ca2 Be2'
_cell_length_a 4.005
_cell_length_b 6.065
_cell_length_c 13.457
_cell_angle_alpha 90.00
_cell_angle_beta 90.00
_cell_angle_gamma 90.00
_symmetry_space_group_name_H-M 'I m m 2'
_symmetry_Int_Tables_number 44
loop_
_symmetry_equiv_pos_as_xyz
'x,y,z'
'-x,-y,z'
'-x,y,z'
'x,-y,z'
'x+1/2,y+1/2,z+1/2'
'-x+1/2,-y+1/2,z+1/2'
'-x+1/2,y+1/2,z+1/2'
'x+1/2,-y+1/2,z+1/2'
loop_
_atom_site_label
_atom_site_type_symbol
_atom_site_fract_x
_atom_site_fract_y
_atom_site_fract_z
Ba1 Ba 0.000 0.000 0.000
Ba2 Ba 0.000 0.500 0.185
Ca1 Ca 0.000 0.000 0.362
Be1 Be 0.000 0.500 0.694

Question: Which formula does entry 9 have?
Answer: CePr2Pb